This record from OQMD describes a relaxed structure of SmN2. The functional is PBE-GGA.

## Properties
Space-group type: Fd-3m (227)
Final energy, hartree per atom: -0.219

POSCAR file:
```
SmN2
1.0
0.000 3.268 3.268
3.268 0.000 3.268
3.268 3.268 0.000
N Sm
4 2
Direct
0.625 0.625 0.125 N
0.625 0.125 0.625 N
0.125 0.625 0.625 N
0.625 0.625 0.625 N
0.000 0.000 0.000 Sm
0.250 0.250 0.250 Sm
```